Run one
# KSrTl, optimized geometry, DFT PBE
# Space-group type ... I4mm
# M_tot ... 0.00 μB/f.u.
# DOS at the Fermi energy ... 1.76 states/eV/cell
# Crystal system ... tetragonal
data_KSrTl
_symmetry_space_group_name_H-M 'P 1'
_symmetry_Int_Tables_number 1
_symmetry_space_group_name_Hall 'P 1'
_cell_length_a 8.037
_cell_length_b 8.037
_cell_length_c 4.265
_cell_angle_alpha 74.61
_cell_angle_beta 74.61
_cell_angle_gamma 30.77
loop_
_atom_site_label
_atom_site_type_symbol
_atom_site_fract_x
_atom_site_fract_y
_atom_site_fract_z
Sr1 Sr 0.292 0.292 0.708
Tl1 Tl 0.685 0.685 0.315
K1 K 0.023 0.023 0.977

Run two
# KSrTl, optimized geometry, DFT PBE
# Space-group type ... F-43m
# M_tot ... 1.32 μB/f.u.
# DOS at the Fermi energy ... 4.70 states/eV/cell
# Crystal system ... cubic
data_KSrTl
_symmetry_space_group_name_H-M 'P 1'
_symmetry_Int_Tables_number 1
_symmetry_space_group_name_Hall 'P 1'
_cell_length_a 5.891
_cell_length_b 5.891
_cell_length_c 5.891
_cell_angle_alpha 60.00
_cell_angle_beta 60.00
_cell_angle_gamma 60.00
loop_
_atom_site_label
_atom_site_type_symbol
_atom_site_fract_x
_atom_site_fract_y
_atom_site_fract_z
Sr1 Sr 0.500 0.500 0.500
K1 K 0.000 0.000 0.000
Tl1 Tl 0.750 0.750 0.750

How far above the most stable structure does each one sit? In kJ/mol of atoms: run one 0.0; run two 15.5.

Run one
# K2Sr2V, optimized geometry, DFT PBE
# Space-group type ... P4/mbm
# M_tot ... 4.59 μB/f.u.
# DOS at the Fermi energy ... 13.97 states/eV/cell
# Crystal system ... tetragonal
data_K2Sr2V
_symmetry_space_group_name_H-M 'P 1'
_symmetry_Int_Tables_number 1
_symmetry_space_group_name_Hall 'P 1'
_cell_length_a 8.754
_cell_length_b 8.754
_cell_length_c 6.413
_cell_angle_alpha 90.00
_cell_angle_beta 90.00
_cell_angle_gamma 90.00
loop_
_atom_site_label
_atom_site_type_symbol
_atom_site_fract_x
_atom_site_fract_y
_atom_site_fract_z
Sr1 Sr 0.688 0.812 0.500
Sr2 Sr 0.188 0.688 0.500
Sr3 Sr 0.312 0.188 0.500
Sr4 Sr 0.812 0.312 0.500
K1 K 0.138 0.362 0.000
K2 K 0.638 0.138 0.000
K3 K 0.862 0.638 0.000
K4 K 0.362 0.862 0.000
V1 V 0.000 0.000 0.000
V2 V 0.500 0.500 0.000

Run two
# K2Sr2V, optimized geometry, DFT PBE
# Space-group type ... I4/mmm
# M_tot ... 4.39 μB/f.u.
# DOS at the Fermi energy ... 10.01 states/eV/cell
# Crystal system ... tetragonal
data_K2Sr2V
_symmetry_space_group_name_H-M 'P 1'
_symmetry_Int_Tables_number 1
_symmetry_space_group_name_Hall 'P 1'
_cell_length_a 5.260
_cell_length_b 5.260
_cell_length_c 10.874
_cell_angle_alpha 76.00
_cell_angle_beta 76.00
_cell_angle_gamma 90.00
loop_
_atom_site_label
_atom_site_type_symbol
_atom_site_fract_x
_atom_site_fract_y
_atom_site_fract_z
K1 K 0.585 0.585 0.830
K2 K 0.415 0.415 0.170
Sr1 Sr 0.750 0.250 0.500
Sr2 Sr 0.250 0.750 0.500
V1 V 0.000 0.000 0.000

How far above the most stable structure does each one sit? In kJ/mol of atoms: run one 0.0; run two 18.0.

Run one
# KSrV2, optimized geometry, DFT PBE
# Space-group type ... Fm-3m
# M_tot ... 9.08 μB/f.u.
# DOS at the Fermi energy ... 8.45 states/eV/cell
# Crystal system ... cubic
data_KSrV2
_symmetry_space_group_name_H-M 'P 1'
_symmetry_Int_Tables_number 1
_symmetry_space_group_name_Hall 'P 1'
_cell_length_a 5.725
_cell_length_b 5.725
_cell_length_c 5.725
_cell_angle_alpha 60.00
_cell_angle_beta 60.00
_cell_angle_gamma 60.00
loop_
_atom_site_label
_atom_site_type_symbol
_atom_site_fract_x
_atom_site_fract_y
_atom_site_fract_z
Sr1 Sr 0.500 0.500 0.500
K1 K 0.000 0.000 0.000
V1 V 0.750 0.750 0.750
V2 V 0.250 0.250 0.250

Run two
# KSrV2, optimized geometry, DFT PBE
# Space-group type ... I-42d
# M_tot ... 0.00 μB/f.u.
# DOS at the Fermi energy ... 11.00 states/eV/cell
# Crystal system ... tetragonal
data_KSrV2
_symmetry_space_group_name_H-M 'P 1'
_symmetry_Int_Tables_number 1
_symmetry_space_group_name_Hall 'P 1'
_cell_length_a 4.515
_cell_length_b 4.515
_cell_length_c 12.239
_cell_angle_alpha 79.37
_cell_angle_beta 79.37
_cell_angle_gamma 90.00
loop_
_atom_site_label
_atom_site_type_symbol
_atom_site_fract_x
_atom_site_fract_y
_atom_site_fract_z
V1 V 0.875 0.107 0.750
V2 V 0.857 0.125 0.250
V3 V 0.375 0.143 0.750
V4 V 0.893 0.625 0.250
K1 K 0.250 0.750 0.500
K2 K 0.500 0.500 0.000
Sr1 Sr 0.750 0.250 0.500
Sr2 Sr 0.000 0.000 0.000

How far above the most stable structure does each one sit? In kJ/mol of atoms: run one 0.0; run two 20.9.

Run one
# K3SrV, optimized geometry, DFT PBE
# Space-group type ... Pm-3m
# M_tot ... 5.19 μB/f.u.
# DOS at the Fermi energy ... 6.39 states/eV/cell
# Crystal system ... cubic
data_K3SrV
_symmetry_space_group_name_H-M 'P 1'
_symmetry_Int_Tables_number 1
_symmetry_space_group_name_Hall 'P 1'
_cell_length_a 6.696
_cell_length_b 6.696
_cell_length_c 6.696
_cell_angle_alpha 90.00
_cell_angle_beta 90.00
_cell_angle_gamma 90.00
loop_
_atom_site_label
_atom_site_type_symbol
_atom_site_fract_x
_atom_site_fract_y
_atom_site_fract_z
K1 K 0.000 0.000 0.500
K2 K 0.000 0.500 0.000
K3 K 0.500 0.000 0.000
Sr1 Sr 0.500 0.500 0.500
V1 V 0.000 0.000 0.000

Run two
# K3SrV, optimized geometry, DFT PBE
# Space-group type ... Pm-3m
# M_tot ... 4.26 μB/f.u.
# DOS at the Fermi energy ... 17.31 states/eV/cell
# Crystal system ... cubic
data_K3SrV
_symmetry_space_group_name_H-M 'P 1'
_symmetry_Int_Tables_number 1
_symmetry_space_group_name_Hall 'P 1'
_cell_length_a 7.567
_cell_length_b 7.567
_cell_length_c 7.567
_cell_angle_alpha 90.00
_cell_angle_beta 90.00
_cell_angle_gamma 90.00
loop_
_atom_site_label
_atom_site_type_symbol
_atom_site_fract_x
_atom_site_fract_y
_atom_site_fract_z
V1 V 0.500 0.500 0.500
K1 K 0.000 0.500 0.000
K2 K 0.000 0.000 0.500
K3 K 0.500 0.000 0.000
Sr1 Sr 0.000 0.000 0.000

How far above the most stable structure does each one sit? In kJ/mol of atoms: run one 0.0; run two 45.7.

Run one
# KSrW, optimized geometry, DFT PBE
# Space-group type ... I4mm
# M_tot ... 0.00 μB/f.u.
# DOS at the Fermi energy ... 3.40 states/eV/cell
# Crystal system ... tetragonal
data_KSrW
_symmetry_space_group_name_H-M 'P 1'
_symmetry_Int_Tables_number 1
_symmetry_space_group_name_Hall 'P 1'
_cell_length_a 9.669
_cell_length_b 9.669
_cell_length_c 9.669
_cell_angle_alpha 161.53
_cell_angle_beta 161.53
_cell_angle_gamma 26.23
loop_
_atom_site_label
_atom_site_type_symbol
_atom_site_fract_x
_atom_site_fract_y
_atom_site_fract_z
W1 W 0.676 0.676 0.000
K1 K 0.021 0.021 0.000
Sr1 Sr 0.303 0.303 0.000

Run two
# KSrW, optimized geometry, DFT PBE
# Space-group type ... P3m1
# M_tot ... 1.12 μB/f.u.
# DOS at the Fermi energy ... 4.19 states/eV/cell
# Crystal system ... trigonal
data_KSrW
_symmetry_space_group_name_H-M 'P 1'
_symmetry_Int_Tables_number 1
_symmetry_space_group_name_Hall 'P 1'
_cell_length_a 5.824
_cell_length_b 5.824
_cell_length_c 2.870
_cell_angle_alpha 90.00
_cell_angle_beta 90.00
_cell_angle_gamma 120.00
loop_
_atom_site_label
_atom_site_type_symbol
_atom_site_fract_x
_atom_site_fract_y
_atom_site_fract_z
Sr1 Sr 0.667 0.333 0.165
K1 K 0.000 0.000 0.169
W1 W 0.333 0.667 0.666

Run three
# KSrW, optimized geometry, DFT PBE
# Space-group type ... P3m1
# M_tot ... 0.00 μB/f.u.
# DOS at the Fermi energy ... 3.81 states/eV/cell
# Crystal system ... trigonal
data_KSrW
_symmetry_space_group_name_H-M 'P 1'
_symmetry_Int_Tables_number 1
_symmetry_space_group_name_Hall 'P 1'
_cell_length_a 3.229
_cell_length_b 3.229
_cell_length_c 9.572
_cell_angle_alpha 90.00
_cell_angle_beta 90.00
_cell_angle_gamma 120.00
loop_
_atom_site_label
_atom_site_type_symbol
_atom_site_fract_x
_atom_site_fract_y
_atom_site_fract_z
K1 K 0.000 0.000 0.964
W1 W 0.667 0.333 0.654
Sr1 Sr 0.333 0.667 0.383

Run four
# KSrW, optimized geometry, DFT PBE
# Space-group type ... F-43m
# M_tot ... 4.93 μB/f.u.
# DOS at the Fermi energy ... 2.30 states/eV/cell
# Crystal system ... cubic
data_KSrW
_symmetry_space_group_name_H-M 'P 1'
_symmetry_Int_Tables_number 1
_symmetry_space_group_name_Hall 'P 1'
_cell_length_a 5.788
_cell_length_b 5.788
_cell_length_c 5.788
_cell_angle_alpha 60.00
_cell_angle_beta 60.00
_cell_angle_gamma 60.00
loop_
_atom_site_label
_atom_site_type_symbol
_atom_site_fract_x
_atom_site_fract_y
_atom_site_fract_z
Sr1 Sr 0.500 0.500 0.500
K1 K 0.000 0.000 0.000
W1 W 0.750 0.750 0.750

How far above the most stable structure does each one sit? In kJ/mol of atoms: run one 0.0; run two 20.1; run three 7.7; run four 48.8.

Run one
# K2SrW, optimized geometry, DFT PBE
# Space-group type ... P4/mmm
# M_tot ... 4.42 μB/f.u.
# DOS at the Fermi energy ... 3.20 states/eV/cell
# Crystal system ... tetragonal
data_K2SrW
_symmetry_space_group_name_H-M 'P 1'
_symmetry_Int_Tables_number 1
_symmetry_space_group_name_Hall 'P 1'
_cell_length_a 5.089
_cell_length_b 5.089
_cell_length_c 6.399
_cell_angle_alpha 90.00
_cell_angle_beta 90.00
_cell_angle_gamma 90.00
loop_
_atom_site_label
_atom_site_type_symbol
_atom_site_fract_x
_atom_site_fract_y
_atom_site_fract_z
W1 W 0.000 0.500 0.500
K1 K 0.000 0.000 0.000
K2 K 0.500 0.500 0.000
Sr1 Sr 0.500 0.000 0.500

Run two
# K2SrW, optimized geometry, DFT PBE
# Space-group type ... Cm
# M_tot ... 2.30 μB/f.u.
# DOS at the Fermi energy ... 4.15 states/eV/cell
# Crystal system ... monoclinic
data_K2SrW
_symmetry_space_group_name_H-M 'P 1'
_symmetry_Int_Tables_number 1
_symmetry_space_group_name_Hall 'P 1'
_cell_length_a 5.647
_cell_length_b 5.647
_cell_length_c 9.410
_cell_angle_alpha 87.75
_cell_angle_beta 87.75
_cell_angle_gamma 32.65
loop_
_atom_site_label
_atom_site_type_symbol
_atom_site_fract_x
_atom_site_fract_y
_atom_site_fract_z
K1 K 0.751 0.751 0.707
K2 K 0.990 0.990 0.054
W1 W 0.247 0.247 0.306
Sr1 Sr 0.511 0.511 0.433

Run three
# K2SrW, optimized geometry, DFT PBE
# Space-group type ... P2/m
# M_tot ... 3.79 μB/f.u.
# DOS at the Fermi energy ... 3.83 states/eV/cell
# Crystal system ... monoclinic
data_K2SrW
_symmetry_space_group_name_H-M 'P 1'
_symmetry_Int_Tables_number 1
_symmetry_space_group_name_Hall 'P 1'
_cell_length_a 6.725
_cell_length_b 3.841
_cell_length_c 6.152
_cell_angle_alpha 86.47
_cell_angle_beta 90.00
_cell_angle_gamma 90.00
loop_
_atom_site_label
_atom_site_type_symbol
_atom_site_fract_x
_atom_site_fract_y
_atom_site_fract_z
K1 K 0.000 0.982 0.977
K2 K 0.000 0.518 0.523
Sr1 Sr 0.500 0.250 0.250
W1 W 0.500 0.750 0.750

Run four
# K2SrW, optimized geometry, DFT PBE
# Space-group type ... C2/m
# M_tot ... 3.97 μB/f.u.
# DOS at the Fermi energy ... 3.29 states/eV/cell
# Crystal system ... monoclinic
data_K2SrW
_symmetry_space_group_name_H-M 'P 1'
_symmetry_Int_Tables_number 1
_symmetry_space_group_name_Hall 'P 1'
_cell_length_a 7.692
_cell_length_b 7.692
_cell_length_c 3.851
_cell_angle_alpha 76.75
_cell_angle_beta 76.75
_cell_angle_gamma 125.22
loop_
_atom_site_label
_atom_site_type_symbol
_atom_site_fract_x
_atom_site_fract_y
_atom_site_fract_z
K1 K 0.000 0.000 0.000
K2 K 0.500 0.500 0.000
W1 W 0.000 0.500 0.500
Sr1 Sr 0.500 0.000 0.500

How far above the most stable structure does each one sit? In kJ/mol of atoms: run one 3.8; run two 0.0; run three 7.1; run four 8.3.